# 1
VASP calculation (meta-GGA SCAN) on RbLa2C6N6ClO6 at its PBEsol-relaxed geometry.

## Properties
For the raw formation energy, the calculation gives -31.9 eV/f.u. Its density is 3775 kg/m3. Its space-group type is P6_3/m.

Cell lengths 6.762, 6.762, 14.461 Å; angles 90.00, 90.00, 120.00 degrees
Atoms (fractional coordinates):
C 0.786 0.832 0.596
C 0.214 0.168 0.404
C 0.046 0.214 0.904
La 0.333 0.667 0.449
Rb 0.667 0.333 0.250
C 0.954 0.786 0.096
C 0.168 0.954 0.904
O 0.338 0.919 0.583
O 0.581 0.662 0.583
N 0.777 0.824 0.401
La 0.667 0.333 0.551
O 0.919 0.581 0.417
N 0.824 0.047 0.901
C 0.168 0.954 0.596
O 0.662 0.081 0.417
N 0.223 0.176 0.901
Rb 0.333 0.667 0.750
N 0.223 0.176 0.599
O 0.338 0.919 0.917
N 0.176 0.953 0.099
C 0.214 0.168 0.096
C 0.832 0.046 0.096
C 0.046 0.214 0.596
Cl 0.667 0.333 0.750
N 0.047 0.223 0.099
O 0.581 0.662 0.917
N 0.047 0.223 0.401
O 0.662 0.081 0.083
N 0.777 0.824 0.099
C 0.954 0.786 0.404
N 0.953 0.777 0.901
La 0.667 0.333 0.949
N 0.176 0.953 0.401
N 0.824 0.047 0.599
O 0.081 0.419 0.583
C 0.786 0.832 0.904
O 0.419 0.338 0.083
La 0.333 0.667 0.051
O 0.081 0.419 0.917
N 0.953 0.777 0.599
O 0.919 0.581 0.083
Cl 0.333 0.667 0.250
C 0.832 0.046 0.404
O 0.419 0.338 0.417

# 2
VASP calculation (meta-GGA SCAN) on Mg3BiPt at its PBEsol-relaxed geometry.

## Properties
Its calculated formation energy is -0.41 eV/atom. Its density is 6422 kg/m3. Its space-group type is Pm-3m.

Cell lengths 4.978, 4.978, 4.978 Å; angles 90.00, 90.00, 90.00 degrees
Atoms (fractional coordinates):
Pt 0.000 0.000 0.000
Mg 0.500 0.000 0.000
Bi 0.500 0.500 0.500
Mg 0.000 0.500 0.000
Mg 0.000 0.000 0.500

# 3
VASP calculation (meta-GGA SCAN) on InHg2Cl at its PBEsol-relaxed geometry.

## Properties
For the raw formation energy, the calculation gives -1.5 eV/f.u. Its density is 8890 kg/m3. Its space-group type is C2/m.

Cell lengths 4.204, 4.280, 6.437 Å; angles 108.55, 108.18, 92.51 degrees
Atoms (fractional coordinates):
In 0.500 0.000 0.000
Hg 0.000 0.000 0.500
Cl 0.000 0.500 0.000
Hg 0.500 0.500 0.500

# 4
VASP calculation (meta-GGA SCAN) on GeHCl2 at its PBEsol-relaxed geometry.

## Properties
Its density is 3712 kg/m3. Its space-group type is R-3m.

Cell lengths 3.186, 3.186, 7.583 Å; angles 77.88, 77.88, 60.00 degrees
Atoms (fractional coordinates):
Cl 0.889 0.889 0.332
H 0.500 0.500 0.500
Ge 0.000 0.000 0.000
Cl 0.111 0.111 0.668

# 5
VASP calculation (meta-GGA SCAN) on Ca2ScCuP at its PBEsol-relaxed geometry.

## Properties
Its calculated formation energy is 0.10 eV/atom. Its density is 2863 kg/m3. Its space-group type is P4/mmm.

Cell lengths 4.183, 5.518, 5.518 Å; angles 90.00, 90.00, 90.00 degrees
Last column: magnetic moment on the atom in μB.
Atoms (fractional coordinates):
P 0.500 0.000 0.000  -0.03
Cu 0.000 0.000 0.000  0.01
Ca 0.000 0.500 0.000  0.12
Ca 0.000 0.000 0.500  0.12
Sc 0.500 0.500 0.500  0.96

# 6
VASP calculation (meta-GGA SCAN) on Ta2ZnW at its PBEsol-relaxed geometry.

## Properties
Its calculated formation energy is 0.23 eV/atom. Its density is 15448 kg/m3. Its space-group type is Pmm2.

Cell lengths 2.706, 4.318, 5.623 Å; angles 90.00, 90.00, 90.00 degrees
Atoms (fractional coordinates):
Ta 0.500 0.500 0.257
Ta 0.000 0.000 0.994
W 0.000 0.000 0.499
Zn 0.500 0.500 0.750

# 7
VASP calculation (meta-GGA SCAN) on LaScCr4 at its PBEsol-relaxed geometry.

## Properties
Its calculated formation energy is 0.49 eV/atom. Its density is 7076 kg/m3. Its space-group type is F-43m.

Cell lengths 5.066, 5.066, 5.066 Å; angles 60.00, 60.00, 60.00 degrees
Atoms (fractional coordinates):
Cr 0.375 0.875 0.375
Cr 0.375 0.375 0.375
La 0.750 0.750 0.750
Sc 0.000 0.000 0.000
Cr 0.875 0.375 0.375
Cr 0.375 0.375 0.875

# 8
VASP calculation (meta-GGA SCAN) on MgBe2Hg at its PBEsol-relaxed geometry.

## Properties
Its calculated formation energy is 0.25 eV/atom. Its density is 7059 kg/m3. Its space-group type is Imm2.

Cell lengths 3.422, 4.101, 4.869 Å; angles 114.91, 110.57, 90.00 degrees
Atoms (fractional coordinates):
Be 0.024 0.024 0.048
Mg 0.261 0.761 0.521
Be 0.724 0.224 0.447
Hg 0.492 0.492 0.983

# 9
VASP calculation (meta-GGA SCAN) on BeFeTe3 at its PBEsol-relaxed geometry.

## Properties
For the raw formation energy, the calculation gives 4.4 eV/f.u. Its density is 6036 kg/m3. Its space-group type is Pm-3m.

Cell lengths 4.975, 4.975, 4.975 Å; angles 90.00, 90.00, 90.00 degrees
Last column: magnetic moment on the atom in μB.
Atoms (fractional coordinates):
Be 0.500 0.500 0.500  -0.08
Te 0.000 0.500 0.000  0.18
Te 0.000 0.000 0.500  0.18
Te 0.500 0.000 0.000  0.18
Fe 0.000 0.000 0.000  2.58

# 10
VASP calculation (meta-GGA SCAN) on AsBrCl at its PBEsol-relaxed geometry.

## Properties
For the raw formation energy, the calculation gives 0.5 eV/f.u. Its density is 4414 kg/m3. Its space-group type is F-43m.

Cell lengths 4.661, 4.661, 4.661 Å; angles 60.00, 60.00, 60.00 degrees
Atoms (fractional coordinates):
Br 0.000 0.000 0.000
Cl 0.500 0.500 0.500
As 0.250 0.250 0.250

# 11
VASP calculation (meta-GGA SCAN) on LiCa2Zn at its PBEsol-relaxed geometry.

## Properties
Its calculated formation energy is -0.11 eV/atom. Its density is 2432 kg/m3. Its space-group type is Cmmm.

Cell lengths 3.835, 5.211, 5.211 Å; angles 89.90, 90.00, 90.00 degrees
Atoms (fractional coordinates):
Ca 0.000 0.000 0.500
Li 0.500 0.000 0.000
Ca 0.000 0.500 0.000
Zn 0.500 0.500 0.500

# 12
VASP calculation (meta-GGA SCAN) on LiMgCu2 at its PBEsol-relaxed geometry.

## Properties
Its calculated formation energy is -0.04 eV/atom. Its density is 4677 kg/m3. Its space-group type is Cm.

Cell lengths 2.851, 4.455, 4.872 Å; angles 107.37, 107.01, 90.00 degrees
Atoms (fractional coordinates):
Cu 0.018 0.996 0.036
Li 0.483 0.459 0.966
Mg 0.265 0.784 0.531
Cu 0.733 0.261 0.467

Number 1: energy -300.6 eV/f.u.. Number 2: energy -165.8 eV/f.u.. Number 3: energy -179.2 eV/f.u.. Number 4: energy -37.4 eV/f.u.. Number 5: energy -58.7 eV/f.u.. Number 6: energy -215.4 eV/f.u.. Number 7: energy -128.0 eV/f.u.. Number 8: energy -80.9 eV/f.u.. Number 9: energy -129.8 eV/f.u.. Number 10: energy -47.2 eV/f.u.. Number 11: energy -35.7 eV/f.u.. Number 12: energy -37.9 eV/f.u..